## w
## CrTeMoI2 (PBE)

Data for CrTeMoI2 after structural relaxation.

## Properties
Spin magnetization   7.73 μB per cell
Volume   171.21 Å³ per cell

Unit cell a=5.665 b=5.665 c=5.336 alpha=90.00 beta=90.00 gamma=90.00
Space group P4/mmm (No. 123)
Asymmetric unit:
Cr  0.000  0.000  0.000
Te  0.500  0.500  0.000
Mo  0.500  0.500  0.500
I  0.000  0.500  0.500

## x
## CrTeMoI2 (PBE)

Data for CrTeMoI2 after structural relaxation.

## Properties
Spin magnetization   8.00 μB per cell
Volume   161.23 Å³ per cell

Unit cell a=5.461 b=5.461 c=5.406 alpha=90.00 beta=90.00 gamma=90.00
Space group P4/mmm (No. 123)
Asymmetric unit:
Cr  0.000  0.000  0.000
Te  0.000  0.000  0.500
Mo  0.500  0.500  0.500
I  0.000  0.500  0.000

On energetic grounds, w is preferred over the next structure by 133 meV per atom.